Record 1
Density functional theory data (PBE) for an optimized crystal structure of TbPm3Y2Te6.

Summary:
N(E_F): 6.29 states/eV/f.u.
crystal system: monoclinic
uncorrected energy: -5.583 eV/atom
V: 366 Å³/f.u.
energy relative to the elements, uncorrected: -1.3616 eV per atom

Lattice parameters (Å, degrees): 19.287 4.390 8.897 90.00 103.76 90.00
Space group C2/m (No. 12)
Unique sites:
1 Tb 0.000 0.000 0.000
2 Pm 0.000 0.000 0.500
3 Pm 0.166 0.500 0.833
4 Y 0.166 0.500 0.332
5 Te 0.002 0.500 0.246
6 Te 0.165 0.000 0.088
7 Te 0.169 0.000 0.578

---

Record 2
Density functional theory data (PBE) for an optimized crystal structure of NdErMg3.

Summary:
energy relative to the elements: -3.9 kJ/mol of atoms
N(E_F): 4.97 states/eV/f.u.
crystal system: monoclinic
uncorrected energy: -2.863 eV/atom
V: 136 Å³/f.u.

Lattice parameters (Å, degrees): 20.233 10.634 5.225 90.00 104.94 90.00
Space group C2/c (No. 15)
Unique sites:
1 Nd 0.198 0.126 0.449
2 Er 0.000 0.129 0.250
3 Er 0.000 0.369 0.750
4 Mg 0.095 0.123 0.845
5 Mg 0.106 0.386 0.356
6 Mg 0.190 0.357 0.939

---

Record 3
Density functional theory data (PBE) for an optimized crystal structure of Ca2Zn3AgAu4.

Summary:
energy relative to the elements: -41.5 kJ/mol of atoms
N(E_F): 3.90 states/eV/f.u.
crystal system: tetragonal
uncorrected energy: -2.809 eV/atom
V: 212 Å³/f.u.

Lattice parameters (Å, degrees): 4.348 4.348 11.219 90.00 90.00 90.00
Space group P-4m2 (No. 115)
Unique sites:
1 Ca 0.000 0.500 0.244
2 Zn 0.000 0.500 0.872
3 Zn 0.500 0.500 0.500
4 Ag 0.000 0.000 0.500
5 Au 0.000 0.000 0.000
6 Au 0.000 0.500 0.649
7 Au 0.500 0.500 0.000